No. 1
# LaTaBe2, optimized geometry, DFT PBE
data_LaTaBe2
_cell_length_a 3.7915
_cell_length_b 3.1306
_cell_length_c 12.0402
_cell_angle_alpha 90.00
_cell_angle_beta 90.00
_cell_angle_gamma 90.00
_symmetry_space_group_name_H-M 'A m m 2'
_symmetry_Int_Tables_number 38
loop_
_symmetry_equiv_pos_as_xyz
'x,y,z'
'-x,-y,z'
'-x,y,z'
'x,-y,z'
'x,y+1/2,z+1/2'
'-x,-y+1/2,z+1/2'
'-x,y+1/2,z+1/2'
'x,-y+1/2,z+1/2'
loop_
_atom_site_label
_atom_site_fract_x
_atom_site_fract_y
_atom_site_fract_z
La1 0.0000 0.0000 0.0000
Ta1 0.5000 0.0000 0.7059
Be1 0.0000 0.0000 0.2672
Be2 0.5000 0.0000 0.3609
# Polymorph energy (0 for the lowest one) = 63 meV per atom
# DFT formation energy = 24.4 kJ/mol of atoms

No. 2
# YHf4N6, optimized geometry, DFT PBE
data_YHf4N6
_cell_length_a 3.1782
_cell_length_b 10.6291
_cell_length_c 16.3245
_cell_angle_alpha 90.00
_cell_angle_beta 90.00
_cell_angle_gamma 90.00
_symmetry_space_group_name_H-M 'C m c m'
_symmetry_Int_Tables_number 63
_symmetry_space_group_name_Hall '-C 2c 2'
loop_
_atom_site_label
_atom_site_fract_x
_atom_site_fract_y
_atom_site_fract_z
Y1 0.0000 0.1479 0.2500
Hf1 0.0000 0.1069 0.6377
Hf2 0.0000 0.3694 0.5478
N1 0.0000 0.0000 0.0000
N2 0.0000 0.1910 0.7500
N3 0.0000 0.2709 0.0815
N4 0.0000 0.4665 0.6586
# Formation energy (no corrections) = -1761 meV per atom

No. 3
# DyIr2Pt, optimized geometry, DFT PBE
data_DyIr2Pt
_cell_length_a 4.0715
_cell_length_b 4.0715
_cell_length_c 4.0729
_cell_angle_alpha 90.00
_cell_angle_beta 90.00
_cell_angle_gamma 90.00
_symmetry_space_group_name_H-M 'P 4/m m m'
_symmetry_Int_Tables_number 123
_symmetry_space_group_name_Hall '-P 4 2'
loop_
_atom_site_label
_atom_site_fract_x
_atom_site_fract_y
_atom_site_fract_z
Dy1 0.0000 0.0000 0.0000
Ir1 0.0000 0.5000 0.5000
Pt1 0.5000 0.5000 0.0000
# DFT formation energy = -56.8 kJ/mol of atoms

No. 4
# Th3Si5S12, optimized geometry, DFT PBE
data_Th3Si5S12
_cell_length_a 15.1836
_cell_length_b 15.1836
_cell_length_c 15.1836
_cell_angle_alpha 90.00
_cell_angle_beta 90.00
_cell_angle_gamma 90.00
_symmetry_space_group_name_H-M 'I a -3 d'
_symmetry_Int_Tables_number 230
_symmetry_space_group_name_Hall '-I 4bd 2c 3'
loop_
_atom_site_label
_atom_site_fract_x
_atom_site_fract_y
_atom_site_fract_z
Th1 0.0000 0.2500 0.1250
Si1 0.0000 0.0000 0.0000
Si2 0.0000 0.2500 0.3750
S1 0.0295 0.0568 0.6544
# Formation energy (no corrections) = -906 meV per atom

No. 5
# TaTeMoN2, optimized geometry, DFT PBE
data_TaTeMoN2
_cell_length_a 3.9672
_cell_length_b 3.9672
_cell_length_c 5.5939
_cell_angle_alpha 90.00
_cell_angle_beta 90.00
_cell_angle_gamma 90.00
_symmetry_space_group_name_H-M 'P 4/m m m'
_symmetry_Int_Tables_number 123
_symmetry_space_group_name_Hall '-P 4 2'
loop_
_atom_site_label
_atom_site_fract_x
_atom_site_fract_y
_atom_site_fract_z
Ta1 0.0000 0.0000 0.0000
Te1 0.5000 0.5000 0.0000
Mo1 0.5000 0.5000 0.5000
N1 0.0000 0.5000 0.5000
# Formation energy (no corrections) = 1029 meV per atom
# Polymorph energy (0 for the lowest one) = 324 meV per atom

No. 6
# Pr5Sm3Y2, optimized geometry, DFT PBE
data_Pr5Sm3Y2
_cell_length_a 10.8807
_cell_length_b 14.8684
_cell_length_c 10.2712
_cell_angle_alpha 90.00
_cell_angle_beta 121.95
_cell_angle_gamma 90.00
_symmetry_space_group_name_H-M 'C 1 2/c 1'
_symmetry_Int_Tables_number 15
loop_
_symmetry_equiv_pos_as_xyz
'x,y,z'
'-x,-y,-z'
'-x,y,-z+1/2'
'x,-y,z+1/2'
'x+1/2,y+1/2,z'
'-x+1/2,-y+1/2,-z'
'-x+1/2,y+1/2,-z+1/2'
'x+1/2,-y+1/2,z+1/2'
loop_
_atom_site_label
_atom_site_fract_x
_atom_site_fract_y
_atom_site_fract_z
Pr1 0.0000 0.0192 0.2500
Pr2 0.0000 0.2298 0.2500
Pr3 0.0000 0.4793 0.7500
Pr4 0.2482 0.1266 0.7493
Sm1 0.0000 0.2696 0.7500
Sm2 0.1534 0.3749 0.5587
Y1 0.1555 0.1269 0.0586
# Polymorph energy (0 for the lowest one) = 0 meV per atom
# DFT formation energy = 15.9 kJ/mol of atoms

No. 7
# HfRuBr2, optimized geometry, DFT PBE
data_HfRuBr2
_cell_length_a 3.2639
_cell_length_b 3.2639
_cell_length_c 26.4690
_cell_angle_alpha 90.00
_cell_angle_beta 90.00
_cell_angle_gamma 120.00
_symmetry_space_group_name_H-M 'R -3 m'
_symmetry_Int_Tables_number 166
_symmetry_space_group_name_Hall '-R 3 2"'
loop_
_atom_site_label
_atom_site_fract_x
_atom_site_fract_y
_atom_site_fract_z
Hf1 0.0000 0.0000 0.0000
Ru1 0.0000 0.0000 0.5000
Br1 0.0000 0.0000 0.4080
# Formation energy (no corrections) = 140 meV per atom
# Polymorph energy (0 for the lowest one) = 0 meV per atom

No. 8
# AlFe2Ir, optimized geometry, DFT PBE
data_AlFe2Ir
_cell_length_a 3.6376
_cell_length_b 3.6376
_cell_length_c 3.9827
_cell_angle_alpha 90.00
_cell_angle_beta 90.00
_cell_angle_gamma 90.00
_symmetry_space_group_name_H-M 'P 4/m m m'
_symmetry_Int_Tables_number 123
_symmetry_space_group_name_Hall '-P 4 2'
loop_
_atom_site_label
_atom_site_fract_x
_atom_site_fract_y
_atom_site_fract_z
Al1 0.0000 0.0000 0.0000
Fe1 0.0000 0.5000 0.5000
Ir1 0.5000 0.5000 0.0000
# DFT formation energy = -30.4 kJ/mol of atoms

Number 1: total DFT energy (no corrections) -5.805 eV per atom. Number 2: total DFT energy (no corrections) -10.509 eV per atom. Number 3: total DFT energy (no corrections) -7.680 eV per atom. Number 4: total DFT energy (no corrections) -5.851 eV per atom. Number 5: total DFT energy (no corrections) -7.467 eV per atom. Number 6: total DFT energy (no corrections) -4.933 eV per atom. Number 7: total DFT energy (no corrections) -5.504 eV per atom. Number 8: total DFT energy (no corrections) -7.698 eV per atom.